Here is a relaxed Tl17Cd11In crystal from Alexandria. Energies are from PBE.

Computed properties:
* space group: Cm
* calculated formation energy: 0.024 eV/atom

Cell: 10.2940 10.2940 10.0415 Å, 109.30 109.30 110.17°
Last column: nearest neighbours and their distance in Å.
Positions (direct):
Tl  0.0000  0.0000  0.0000  4 Tl 3.39-3.65, 7 Cd 3.50-3.70
Tl  0.0001  0.6792  0.7591  5 Cd 3.24-3.49, 7 Tl 3.39-3.58
Tl  0.0011  0.3969  0.0448  3 Cd 3.19-3.32, 6 Tl 3.41-3.54
Tl  0.0030  0.6541  0.3643  4 Tl 3.39-3.59, 5 Cd 3.46-3.52, 1 In 3.51
Tl  0.0036  0.0036  0.3663  11 Cd 3.52-3.57, 4 Tl 3.59-3.65, 1 In 3.60
Tl  0.2871  0.6089  0.9702  4 Cd 3.26-3.58, 1 In 3.38, 7 Tl 3.42-3.59
Tl  0.3175  0.7122  0.6803  3 Cd 3.22-3.33, 7 Tl 3.39-3.58
Tl  0.3244  0.3244  0.0886  1 In 3.22, 4 Cd 3.37-3.44, 7 Tl 3.39-3.59
Tl  0.3580  0.3580  0.7214  4 Tl 3.42-3.60, 6 Cd 3.49-3.51
Tl  0.3902  0.6912  0.3636  3 Cd 3.27-3.32, 7 Tl 3.41-3.53, 1 In 3.65
Tl  0.3969  0.0011  0.0448  3 Cd 3.19-3.32, 6 Tl 3.41-3.54
Tl  0.6005  0.6005  0.6368  5 Cd 3.18-3.50, 3 Tl 3.42-3.50
Tl  0.6089  0.2871  0.9702  4 Cd 3.26-3.58, 1 In 3.38, 7 Tl 3.42-3.59
Tl  0.6541  0.0030  0.3643  4 Tl 3.39-3.59, 5 Cd 3.46-3.52, 1 In 3.51
Tl  0.6792  0.0001  0.7591  5 Cd 3.24-3.49, 7 Tl 3.39-3.58
Tl  0.6912  0.3902  0.3636  3 Cd 3.27-3.32, 7 Tl 3.41-3.53, 1 In 3.65
Tl  0.7122  0.3175  0.6803  3 Cd 3.22-3.33, 7 Tl 3.39-3.58
Cd  0.0044  0.1878  0.7316  3 Cd 2.98-3.10, 1 Tl 3.19
Cd  0.0077  0.3671  0.5518  3 Cd 2.98-3.07, 3 Tl 3.24-3.32
Cd  0.1785  0.8217  0.1778  3 Cd 2.98-3.07, 3 Tl 3.26-3.32
Cd  0.1878  0.0044  0.7316  3 Cd 2.98-3.10, 1 Tl 3.19
Cd  0.1881  0.3653  0.3619  3 Cd 2.99-3.07, 3 Tl 3.27-3.33
Cd  0.3653  0.1881  0.3619  3 Cd 2.99-3.07, 3 Tl 3.27-3.33
Cd  0.3671  0.0077  0.5518  3 Cd 2.98-3.07, 3 Tl 3.24-3.32
Cd  0.6389  0.8219  0.9953  2 Cd 2.98-3.09, 1 In 3.10, 1 Tl 3.22
Cd  0.8217  0.1785  0.1778  3 Cd 2.98-3.07, 3 Tl 3.26-3.32
Cd  0.8219  0.6389  0.9953  2 Cd 2.98-3.09, 1 In 3.10, 1 Tl 3.22
Cd  0.8224  0.8224  0.5523  1 In 3.02, 2 Cd 3.05, 3 Tl 3.18-3.35
In  0.6363  0.6363  0.1842  3 Cd 3.02-3.10, 3 Tl 3.22-3.38


Here is a relaxed TlCd3In6 crystal from Alexandria. Energies are from PBE.

Computed properties:
* space group: P2_1/m
* calculated formation energy: 0.035 eV/atom

Cell: 12.6996 3.2891 12.8086 Å, 90.00 97.58 90.00°
Last column: nearest neighbours and their distance in Å.
Positions (direct):
Tl  0.0430  0.2500  0.2221  2 Tl 3.29, 8 In 3.30-3.59, 2 Cd 3.38
Tl  0.9570  0.7500  0.7779  2 Tl 3.29, 8 In 3.30-3.59, 2 Cd 3.38
Cd  0.0697  0.2500  0.5905  4 Cd 3.18-3.29, 6 In 3.19-3.54, 2 Tl 3.38
Cd  0.3654  0.7500  0.9976  5 In 2.99-3.25, 2 Cd 3.29
Cd  0.4261  0.2500  0.4046  8 In 3.08-3.41, 4 Cd 3.29-3.31
Cd  0.5739  0.7500  0.5954  8 In 3.08-3.41, 4 Cd 3.29-3.31
Cd  0.6346  0.2500  0.0024  5 In 2.99-3.25, 2 Cd 3.29
Cd  0.9303  0.7500  0.4095  4 Cd 3.18-3.29, 6 In 3.19-3.54, 2 Tl 3.38
In  0.1255  0.2500  0.9861  8 In 3.29-3.65, 3 Tl 3.33-3.59, 2 Cd 3.45
In  0.1968  0.7500  0.4339  5 Cd 3.19-3.41, 5 In 3.21-3.34, 2 Tl 3.53
In  0.2173  0.7500  0.7828  3 Cd 3.12-3.33, 7 In 3.27-3.45, 1 Tl 3.30
In  0.2799  0.7500  0.2082  3 Cd 3.04-3.35, 5 In 3.21-3.38
In  0.3511  0.2500  0.6235  3 Cd 3.08-3.33, 8 In 3.27-3.34
In  0.4917  0.7500  0.8161  4 Cd 2.99-3.25, 4 In 3.29
In  0.5083  0.2500  0.1839  4 Cd 2.99-3.25, 4 In 3.29
In  0.6489  0.7500  0.3765  3 Cd 3.08-3.33, 8 In 3.27-3.34
In  0.7201  0.2500  0.7918  3 Cd 3.04-3.35, 5 In 3.21-3.38
In  0.7827  0.2500  0.2172  3 Cd 3.12-3.33, 7 In 3.27-3.45, 1 Tl 3.30
In  0.8032  0.2500  0.5661  5 Cd 3.19-3.41, 5 In 3.21-3.34, 2 Tl 3.53
In  0.8745  0.7500  0.0139  8 In 3.29-3.65, 3 Tl 3.33-3.59, 2 Cd 3.45


Here is a relaxed Tl2Cd16In crystal from Alexandria. Energies are from PBE.

Computed properties:
* space group: R3m
* calculated formation energy: 0.034 eV/atom

Cell: 7.8286 7.8286 7.8286 Å, 83.56 83.56 83.56°
Last column: nearest neighbours and their distance in Å.
Positions (direct):
Tl  0.0000  0.0000  0.0000  19 Cd 3.57-3.95
Tl  0.3128  0.3128  0.3128  15 Cd 3.57-3.95, 1 In 3.61
Cd  0.0138  0.0138  0.4978  8 Cd 2.96-3.20
Cd  0.0138  0.4978  0.0138  8 Cd 2.96-3.20
Cd  0.1527  0.6616  0.6616  9 Cd 2.97-3.11, 1 In 3.20
Cd  0.3022  0.3022  0.8189  8 Cd 2.96-3.20
Cd  0.3022  0.8189  0.3022  8 Cd 2.96-3.20
Cd  0.3553  0.6583  0.9616  8 Cd 2.97-3.20
Cd  0.3553  0.9616  0.6583  8 Cd 2.97-3.20
Cd  0.4978  0.0138  0.0138  8 Cd 2.96-3.20
Cd  0.6583  0.3553  0.9616  8 Cd 2.97-3.20
Cd  0.6583  0.9616  0.3553  8 Cd 2.97-3.20
Cd  0.6616  0.1527  0.6616  9 Cd 2.97-3.11, 1 In 3.20
Cd  0.6616  0.6616  0.1527  9 Cd 2.97-3.11, 1 In 3.20
Cd  0.7623  0.7623  0.7623  6 Cd 3.11-3.33, 1 In 3.13
Cd  0.8189  0.3022  0.3022  8 Cd 2.96-3.20
Cd  0.9616  0.3553  0.6583  8 Cd 2.97-3.20
Cd  0.9616  0.6583  0.3553  8 Cd 2.97-3.20
In  0.5536  0.5536  0.5536  7 Cd 3.13-3.33


Here is a relaxed TlCdIn14 crystal from Alexandria. Energies are from PBE.

Computed properties:
* space group: P4/mmm
* calculated formation energy: 0.023 eV/atom

Cell: 7.3149 7.3149 8.1690 Å, 90.00 90.00 90.00°
Last column: nearest neighbours and their distance in Å.
Positions (direct):
Tl  0.0000  0.0000  0.0000  12 In 3.33-3.66
Cd  0.5000  0.5000  0.0000  8 In 3.26
In  0.0000  0.0000  0.5000  12 In 3.33-3.66
In  0.0000  0.5000  0.0000  8 In 3.29, 2 Cd 3.66, 2 Tl 3.66
In  0.0000  0.5000  0.5000  12 In 3.30-3.66
In  0.2543  0.2543  0.2496  1 Cd 3.26, 8 In 3.26-3.59, 1 Tl 3.33
In  0.2543  0.2543  0.7504  1 Cd 3.26, 8 In 3.26-3.59, 1 Tl 3.33
In  0.2543  0.7457  0.2496  1 Cd 3.26, 8 In 3.26-3.59, 1 Tl 3.33
In  0.2543  0.7457  0.7504  1 Cd 3.26, 8 In 3.26-3.59, 1 Tl 3.33
In  0.5000  0.0000  0.0000  8 In 3.29, 2 Cd 3.66, 2 Tl 3.66
In  0.5000  0.0000  0.5000  12 In 3.30-3.66
In  0.5000  0.5000  0.5000  8 In 3.26
In  0.7457  0.2543  0.2496  1 Cd 3.26, 8 In 3.26-3.59, 1 Tl 3.33
In  0.7457  0.2543  0.7504  1 Cd 3.26, 8 In 3.26-3.59, 1 Tl 3.33
In  0.7457  0.7457  0.2496  1 Cd 3.26, 8 In 3.26-3.59, 1 Tl 3.33
In  0.7457  0.7457  0.7504  1 Cd 3.26, 8 In 3.26-3.59, 1 Tl 3.33


Here is a relaxed Tl4Cd4In crystal from Alexandria. Energies are from PBE.

Computed properties:
* space group: I4/mmm
* calculated formation energy: 0.049 eV/atom

Cell: 7.5386 7.5386 7.5386 Å, 95.78 95.78 142.99°
Last column: nearest neighbours and their distance in Å.
Positions (direct):
Tl  0.1670  0.1670  0.3340  6 Cd 3.37-3.44, 4 Tl 3.37-3.38, 2 In 3.38
Tl  0.1670  0.8330  0.0000  6 Cd 3.37-3.44, 4 Tl 3.37-3.38, 2 In 3.38
Tl  0.8330  0.1670  0.0000  6 Cd 3.37-3.44, 4 Tl 3.37-3.38, 2 In 3.38
Tl  0.8330  0.8330  0.6660  6 Cd 3.37-3.44, 4 Tl 3.37-3.38, 2 In 3.38
Cd  0.1554  0.5000  0.6554  5 Cd 3.14-3.26, 6 Tl 3.37-3.44, 1 In 3.48
Cd  0.5000  0.1554  0.6554  5 Cd 3.14-3.26, 6 Tl 3.37-3.44, 1 In 3.48
Cd  0.5000  0.8446  0.3446  5 Cd 3.14-3.26, 6 Tl 3.37-3.44, 1 In 3.48
Cd  0.8446  0.5000  0.3446  5 Cd 3.14-3.26, 6 Tl 3.37-3.44, 1 In 3.48
In  0.5000  0.5000  0.0000  8 Tl 3.38, 4 Cd 3.48


Here is a relaxed Tl12Cd6In crystal from Alexandria. Energies are from PBE.

Computed properties:
* space group: R-3m
* calculated formation energy: 0.053 eV/atom

Cell: 8.4480 8.4480 8.4480 Å, 76.02 76.02 76.02°
Last column: nearest neighbours and their distance in Å.
Positions (direct):
Tl  0.1332  0.1332  0.5429  4 Cd 3.28-3.41, 4 Tl 3.41-3.54
Tl  0.1332  0.5429  0.1332  4 Cd 3.28-3.41, 4 Tl 3.41-3.54
Tl  0.1959  0.5221  0.5221  1 Cd 3.06, 4 Tl 3.39-3.41
Tl  0.4571  0.8668  0.8668  4 Cd 3.28-3.41, 4 Tl 3.41-3.54
Tl  0.4779  0.4779  0.8041  1 Cd 3.06, 4 Tl 3.39-3.41
Tl  0.4779  0.8041  0.4779  1 Cd 3.06, 4 Tl 3.39-3.41
Tl  0.5221  0.1959  0.5221  1 Cd 3.06, 4 Tl 3.39-3.41
Tl  0.5221  0.5221  0.1959  1 Cd 3.06, 4 Tl 3.39-3.41
Tl  0.5429  0.1332  0.1332  4 Cd 3.28-3.41, 4 Tl 3.41-3.54
Tl  0.8041  0.4779  0.4779  1 Cd 3.06, 4 Tl 3.39-3.41
Tl  0.8668  0.4571  0.8668  4 Cd 3.28-3.41, 4 Tl 3.41-3.54
Tl  0.8668  0.8668  0.4571  4 Cd 3.28-3.41, 4 Tl 3.41-3.54
Cd  0.0937  0.7636  0.7636  1 In 3.00, 3 Tl 3.06-3.28
Cd  0.2364  0.2364  0.9063  1 In 3.00, 3 Tl 3.06-3.28
Cd  0.2364  0.9063  0.2364  1 In 3.00, 3 Tl 3.06-3.28
Cd  0.7636  0.0937  0.7636  1 In 3.00, 3 Tl 3.06-3.28
Cd  0.7636  0.7636  0.0937  1 In 3.00, 3 Tl 3.06-3.28
Cd  0.9063  0.2364  0.2364  1 In 3.00, 3 Tl 3.06-3.28
In  0.0000  0.0000  0.0000  6 Cd 3.00


Here is a relaxed Tl2CdIn crystal from Alexandria. Energies are from PBE.

Computed properties:
* space group: P4mm
* calculated formation energy: 0.025 eV/atom
* energy relative to the lowest polymorph listed for this composition: 0.02 eV/f.u.

Cell: 3.8174 3.8174 7.7240 Å, 90.00 90.00 90.00°
Last column: nearest neighbours and their distance in Å.
Positions (direct):
Tl  0.0000  0.0000  0.0000  4 In 3.36, 4 Tl 3.44, 1 Cd 3.70
Tl  0.5000  0.5000  0.2761  4 Cd 3.30, 4 Tl 3.44, 1 In 3.59
Cd  0.0000  0.0000  0.5215  4 In 3.19, 4 Tl 3.30
In  0.5000  0.5000  0.7413  4 Cd 3.19, 4 Tl 3.36


Here is a relaxed Tl6CdIn3 crystal from Alexandria. Energies are from PBE.

Computed properties:
* space group: P2_1/m
* calculated formation energy: 0.036 eV/atom

Cell: 12.5858 3.3409 14.2206 Å, 90.00 102.87 90.00°
Last column: nearest neighbours and their distance in Å.
Positions (direct):
Tl  0.0121  0.2500  0.1937  4 In 3.33-3.38, 7 Tl 3.34-3.52
Tl  0.1690  0.7500  0.3861  4 In 3.30-3.52, 8 Tl 3.34-3.59
Tl  0.2344  0.2500  0.8062  7 Tl 3.34-3.58, 2 Cd 3.34, 3 In 3.39-3.62
Tl  0.2878  0.2500  0.2114  1 Cd 3.18, 3 In 3.21-3.39, 3 Tl 3.34-3.42
Tl  0.3082  0.2500  0.5901  3 In 3.21-3.43, 5 Tl 3.34-3.47, 2 Cd 3.46
Tl  0.3805  0.7500  0.0183  8 Tl 3.34-3.62, 3 Cd 3.45-3.62, 2 In 3.59
Tl  0.6195  0.2500  0.9817  8 Tl 3.34-3.62, 3 Cd 3.45-3.62, 2 In 3.59
Tl  0.6918  0.7500  0.4099  3 In 3.21-3.43, 5 Tl 3.34-3.47, 2 Cd 3.46
Tl  0.7122  0.7500  0.7886  1 Cd 3.18, 3 In 3.21-3.39, 3 Tl 3.34-3.42
Tl  0.7656  0.7500  0.1938  7 Tl 3.34-3.58, 2 Cd 3.34, 3 In 3.39-3.62
Tl  0.8310  0.2500  0.6139  4 In 3.30-3.52, 8 Tl 3.34-3.59
Tl  0.9879  0.7500  0.8063  4 In 3.33-3.38, 7 Tl 3.34-3.52
Cd  0.4593  0.7500  0.7889  7 Tl 3.18-3.46, 2 Cd 3.34
Cd  0.5407  0.2500  0.2111  7 Tl 3.18-3.46, 2 Cd 3.34
In  0.0724  0.7500  0.5972  4 In 3.34-3.39, 8 Tl 3.37-3.62
In  0.1244  0.2500  0.0028  7 Tl 3.21-3.59, 4 In 3.34-3.53
In  0.4352  0.7500  0.4039  4 Tl 3.21-3.39, 4 In 3.31-3.34
In  0.5648  0.2500  0.5961  4 Tl 3.21-3.39, 4 In 3.31-3.34
In  0.8756  0.7500  0.9972  7 Tl 3.21-3.59, 4 In 3.34-3.53
In  0.9276  0.2500  0.4028  4 In 3.34-3.39, 8 Tl 3.37-3.62


One value per record, in order, for M_tot: 0.00; 0.00; 0.00; 0.00; 0.00; 0.00; 0.00; 0.00 μB/cell.
One value per record, in order, for N(E_F): 12.49; 3.91; 9.05; 4.71; 3.99; 9.35; 0.96; 4.19 states/eV/f.u..